# Na2TbCl5

A relaxed structure of Na2TbCl5 (PBE-GGA, Alexandria via LeMat-Bulk).

## Properties
Raw formation energy: -2032 meV/atom

a b c (Å): 12.117 8.293 7.787
angles (deg): 90.00 90.00 90.00
Fractional coordinates of all 32 atoms:
Na 0.177 0.006 0.017
Na 0.177 0.494 0.017
Na 0.323 0.506 0.517
Na 0.323 0.994 0.517
Na 0.677 0.006 0.483
Na 0.677 0.494 0.483
Na 0.823 0.506 0.983
Na 0.823 0.994 0.983
Tb 0.008 0.750 0.582
Tb 0.492 0.250 0.082
Tb 0.508 0.750 0.918
Tb 0.992 0.250 0.418
Cl 0.013 0.750 0.936
Cl 0.088 0.045 0.659
Cl 0.088 0.455 0.659
Cl 0.180 0.750 0.364
Cl 0.206 0.250 0.315
Cl 0.294 0.750 0.815
Cl 0.320 0.250 0.864
Cl 0.412 0.545 0.159
Cl 0.412 0.955 0.159
Cl 0.487 0.250 0.436
Cl 0.513 0.750 0.564
Cl 0.588 0.045 0.841
Cl 0.588 0.455 0.841
Cl 0.680 0.750 0.136
Cl 0.706 0.250 0.185
Cl 0.794 0.750 0.685
Cl 0.820 0.250 0.636
Cl 0.912 0.545 0.341
Cl 0.912 0.955 0.341
Cl 0.987 0.250 0.064

=====

# Ba3Tl2Zn2Au4

A relaxed structure of Ba3Tl2Zn2Au4 (PBE-GGA, Alexandria via LeMat-Bulk).

## Properties
Formation energy: -0.45 eV/atom

a b c (Å): 4.842 4.842 16.279
angles (deg): 90.00 90.00 120.00
Fractional coordinates of all 11 atoms:
Ba 0.000 0.000 0.000
Ba 0.000 0.000 0.267
Ba 0.000 0.000 0.733
Tl 0.333 0.667 0.567
Tl 0.667 0.333 0.433
Zn 0.333 0.667 0.133
Zn 0.667 0.333 0.867
Au 0.333 0.667 0.382
Au 0.333 0.667 0.869
Au 0.667 0.333 0.131
Au 0.667 0.333 0.618

=====

# Nd5HoTm6

A relaxed structure of Nd5HoTm6 (PBE-GGA, Alexandria via LeMat-Bulk).

## Properties
Formation energy: 0.02 eV/atom

a b c (Å): 9.452 9.452 9.452
angles (deg): 148.82 116.25 72.67
Fractional coordinates of all 12 atoms:
Nd 0.000 0.000 0.000
Nd 0.167 0.667 0.500
Nd 0.335 0.335 0.000
Nd 0.665 0.665 0.000
Nd 0.833 0.333 0.500
Ho 0.500 0.000 0.500
Tm 0.084 0.834 0.251
Tm 0.251 0.500 0.751
Tm 0.417 0.166 0.251
Tm 0.583 0.834 0.749
Tm 0.749 0.500 0.249
Tm 0.916 0.166 0.749

=====

# TiVReMo

A relaxed structure of TiVReMo (PBE-GGA, Alexandria via LeMat-Bulk).

## Properties
Formation energy: -0.25 eV/atom
Relative energy among the computed polymorphs: 0.000 eV/atom

a b c (Å): 3.086 3.086 6.241
angles (deg): 90.00 90.00 90.00
Fractional coordinates of all 4 atoms:
Ti 0.000 0.000 0.000
V 0.000 0.000 0.493
Re 0.500 0.500 0.255
Mo 0.500 0.500 0.739

=====

The records above give, respectively, size of the total moment values of 0.00 0.00 0.00 0.00 μB per formula unit.